Record 1
VASP calculation (GGA-PBE) on Y4MgCu after structural relaxation.

```
Y4MgCu
1.0
-4.590 0.027 1.723
1.593 -1.811 4.271
1.027 7.100 2.627
Cu Y Mg
1 4 1
Direct
0.001 0.998 0.498
0.501 0.997 0.281
0.001 0.497 0.715
0.501 0.997 0.715
0.001 0.497 0.281
0.501 0.497 0.998
```

Results
The calculation puts the density of states at the Fermi level at 7.4 states/eV/cell. The total energy is -5.040 eV per atom. The value obtained for the excess energy over the best structure of this formula in the dataset is 2.01 eV/f.u. The spin magnetization comes out at 0.00 Bohr magnetons per cell. For the density, the calculation gives 4.01 Mg/m³.

Record 2
VASP calculation (GGA-PBE) on YMg6Cu after structural relaxation.

```
YMg6Cu
1.0
-1.898 6.190 2.089
1.265 -5.463 3.852
4.738 1.338 0.341
Mg Cu Y
6 1 1
Direct
0.669 0.827 0.000
0.173 0.331 0.000
0.202 0.798 0.000
0.815 0.688 0.500
0.312 0.185 0.500
0.650 0.350 0.000
0.370 0.630 0.500
0.808 0.192 0.500
```

Results
The calculation puts the density of states at the Fermi level at 3.0 states/eV/cell. The total energy is -2.512 eV per atom. The spin magnetization comes out at 0.00 Bohr magnetons per cell. For the density, the calculation gives 2.73 Mg/m³.